Entry 1:
ScNbPd (PBE, relaxed); electronic total energy = -90.52 eV per cell; ΔE_f = -0.345 eV/atom
1.0
11.0027 0.0000 0.0000
0.0000 3.3557 0.0000
-2.0793 0.0000 5.9954
Sc Nb Pd
4 4 4
direct
0.0000 0.0000 0.0000 Sc
0.0000 0.0000 0.5000 Sc
0.5000 0.5000 0.0000 Sc
0.5000 0.5000 0.5000 Sc
0.1892 0.5000 0.3392 Nb
0.3108 0.0000 0.6608 Nb
0.6892 0.0000 0.3392 Nb
0.8108 0.5000 0.6608 Nb
0.1551 0.5000 0.8270 Pd
0.3449 0.0000 0.1730 Pd
0.6551 0.0000 0.8270 Pd
0.8449 0.5000 0.1730 Pd

Entry 2:
LiLaGa2Au2 (PBE, relaxed); electronic total energy = -23.40 eV per cell; ΔE_f = -0.658 eV/atom
1.0
4.5161 0.0000 0.0000
-2.2581 3.9111 0.0000
0.0000 0.0000 6.9696
Li La Ga Au
1 1 2 2
direct
0.0000 0.0000 0.0000 Li
0.0000 0.0000 0.5000 La
0.3333 0.6667 0.8064 Ga
0.6667 0.3333 0.1936 Ga
0.3333 0.6667 0.2060 Au
0.6667 0.3333 0.7940 Au

Entry 3:
CsSbHAu2 (PBE, relaxed); electronic total energy = -15.27 eV per cell
1.0
5.5184 0.0000 0.0000
0.0000 5.5184 0.0000
0.0000 0.0000 4.4304
Cs Sb H Au
1 1 1 2
direct
0.0000 0.0000 0.0000 Cs
0.5000 0.5000 0.5000 Sb
0.5000 0.5000 0.0000 H
0.0000 0.5000 0.5000 Au
0.5000 0.0000 0.5000 Au

Entry 4:
SrSn4Se8 (PBE, relaxed); electronic total energy = -53.14 eV per cell; uncorrected formation energy = -0.5821 eV/atom
1.0
3.9779 2.2966 7.6431
-3.9779 2.2966 7.6431
0.0000 -4.5933 7.6431
Sr Sn Se
1 4 8
direct
0.0000 0.0000 0.0000 Sr
0.0000 0.0000 0.5000 Sn
0.0000 0.5000 0.0000 Sn
0.5000 0.0000 0.0000 Sn
0.5000 0.5000 0.5000 Sn
0.2281 0.7417 0.7417 Se
0.2353 0.2353 0.2353 Se
0.2583 0.2583 0.7719 Se
0.2583 0.7719 0.2583 Se
0.7417 0.2281 0.7417 Se
0.7417 0.7417 0.2281 Se
0.7647 0.7647 0.7647 Se
0.7719 0.2583 0.2583 Se

Taking the records one at a time from the top gives total magnetization values of 0.00, 0.00, 0.00, 0.00 μB/atom.